Record 1
Here is an optimized crystal structure of YHfPb2 from Alexandria via LeMat-Bulk. Energies are from PBE.

```
data_YHfPb2
_chemical_formula_sum 'Y4 Hf4 Pb8'
_cell_length_a 8.2126
_cell_length_b 8.2126
_cell_length_c 6.6237
_cell_angle_alpha 90.00
_cell_angle_beta 90.00
_cell_angle_gamma 90.00
_space_group_name_H-M_alt 'I -4 2 d'
_space_group_IT_number 122
_space_group_name_Hall 'I -4 2bw'
loop_
_atom_site_label
_atom_site_type_symbol
_atom_site_fract_x
_atom_site_fract_y
_atom_site_fract_z
_atom_site_occupancy
Y1 Y 0.0000 0.0000 0.0000 1
Hf1 Hf 0.0000 0.0000 0.5000 1
Pb1 Pb 0.2355 0.2500 0.6250 1
```

Values from the calculation:
Total moment   0.0 μB/f.u.
Total energy   -5.98 eV/atom
E_form   -0.022 eV/atom
Energy above the lowest structure with this stoichiometry   125 meV per atom

Record 2
Here is an optimized crystal structure of YHf3Pb from Alexandria via LeMat-Bulk. Energies are from PBE.

```
data_YHf3Pb
_chemical_formula_sum 'Y1 Hf3 Pb1'
_cell_length_a 5.3771
_cell_length_b 5.3771
_cell_length_c 5.3771
_cell_angle_alpha 90.00
_cell_angle_beta 90.00
_cell_angle_gamma 90.00
_space_group_name_H-M_alt 'P m -3 m'
_space_group_IT_number 221
_space_group_name_Hall '-P 4 2 3'
loop_
_atom_site_label
_atom_site_type_symbol
_atom_site_fract_x
_atom_site_fract_y
_atom_site_fract_z
_atom_site_occupancy
Y1 Y 0.0000 0.0000 0.0000 1
Hf1 Hf 0.0000 0.5000 0.5000 1
Pb1 Pb 0.5000 0.5000 0.5000 1
```

Values from the calculation:
Total moment   0.0 μB/f.u.
Total energy   -6.93 eV/atom
E_form   1.080 eV/atom
Energy above the lowest structure with this stoichiometry   0 meV per atom

Record 3
Here is an optimized crystal structure of YHfPb2 from Alexandria via LeMat-Bulk. Energies are from PBE.

```
data_YHfPb2
_chemical_formula_sum 'Y3 Hf3 Pb6'
_cell_length_a 4.8656
_cell_length_b 4.8656
_cell_length_c 15.7797
_cell_angle_alpha 90.00
_cell_angle_beta 90.00
_cell_angle_gamma 120.00
_space_group_name_H-M_alt 'R -3 m'
_space_group_IT_number 166
_space_group_name_Hall '-R 3 2"'
loop_
_atom_site_label
_atom_site_type_symbol
_atom_site_fract_x
_atom_site_fract_y
_atom_site_fract_z
_atom_site_occupancy
Y1 Y 0.0000 0.0000 0.0000 1
Hf1 Hf 0.0000 0.0000 0.5000 1
Pb1 Pb 0.0000 0.0000 0.2420 1
```

Values from the calculation:
Total moment   0.0 μB/f.u.
Total energy   -6.09 eV/atom
E_form   -0.129 eV/atom
Energy above the lowest structure with this stoichiometry   19 meV per atom

Copy entry 2 word for word.
Here is an optimized crystal structure of YHf3Pb from Alexandria via LeMat-Bulk. Energies are from PBE.

```
data_YHf3Pb
_chemical_formula_sum 'Y1 Hf3 Pb1'
_cell_length_a 5.3771
_cell_length_b 5.3771
_cell_length_c 5.3771
_cell_angle_alpha 90.00
_cell_angle_beta 90.00
_cell_angle_gamma 90.00
_space_group_name_H-M_alt 'P m -3 m'
_space_group_IT_number 221
_space_group_name_Hall '-P 4 2 3'
loop_
_atom_site_label
_atom_site_type_symbol
_atom_site_fract_x
_atom_site_fract_y
_atom_site_fract_z
_atom_site_occupancy
Y1 Y 0.0000 0.0000 0.0000 1
Hf1 Hf 0.0000 0.5000 0.5000 1
Pb1 Pb 0.5000 0.5000 0.5000 1
```

Values from the calculation:
Total moment   0.0 μB/f.u.
Total energy   -6.93 eV/atom
E_form   1.080 eV/atom
Energy above the lowest structure with this stoichiometry   0 meV per atom

Which value of total energy does entry 2 give? -6.93 eV/atom